Entry 1:
The following is a DFT calculation (PBE-GGA) of a relaxed structure of MgCd2CuSn.

Values from the calculation:
Total DFT energy (no corrections): -0.15558 Ry per atom
DOS at the Fermi energy: 2.1 states/eV/cell
Spin magnetization: 0.0 μB/f.u.
Energy of formation from the pure elements: 188 meV/atom

Cell lengths 4.9855, 4.9855, 4.9296 Å; angles 90.00, 90.00, 90.00 degrees
Closest atoms and distances in Å follow each position.
Space group P4/mmm (No. 123)
Unique sites:
Mg (0.0000, 0.0000, 0.0000)  2 Cu 2.46
Cd (0.0000, 0.5000, 0.5000)  2 Cu 2.49
Cu (0.0000, 0.0000, 0.5000)  2 Mg 2.46, 4 Cd 2.49
Sn (0.5000, 0.5000, 0.0000)  8 Cd 3.51, 4 Mg 3.53

***

Entry 2:
The following is a DFT calculation (PBE-GGA) of a relaxed structure of AcMg2SbN.

Values from the calculation:
Total DFT energy (no corrections): -0.33587 Ry per atom
DOS at the Fermi energy: 10.5 states/eV/cell
Spin magnetization: 0.0 μB/f.u.
E_form (uncorrected): -3.103 eV per formula unit

Cell lengths 4.1210, 13.1581, 8.2283 Å; angles 90.00, 90.00, 90.00 degrees
Closest atoms and distances in Å follow each position.
Space group Cmcm (No. 63)
Unique sites:
Ac (0.0000, 0.0290, 0.2500)  4 N 2.94
Mg (0.0000, 0.3488, 0.0503)  1 N 2.03
Sb (0.0000, 0.2413, 0.7500)  6 Mg 2.85-2.89
N (0.0000, 0.5000, 0.0000)  2 Mg 2.03

***

Entry 3:
The following is a DFT calculation (PBE-GGA) of a relaxed structure of BeNiCl.

Values from the calculation:
Total DFT energy (no corrections): -0.30799 Ry per atom
Relative energy among the computed polymorphs: 15.4 meV per atom
DOS at the Fermi energy: 3.6 states/eV/cell
Spin magnetization: 0.1 μB/f.u.
E_form (uncorrected): -1.217 eV per formula unit

Cell lengths 3.1058, 3.5252, 8.3484 Å; angles 90.00, 100.42, 90.00 degrees
Closest atoms and distances in Å follow each position.
Space group P2_1/m (No. 11)
Unique sites:
Be (0.0446, 0.2500, 0.0927)  6 Ni 2.28-2.36, 2 Cl 2.28-2.30, 2 Be 2.33
Ni (0.4460, 0.2500, 0.8899)  6 Be 2.28-2.36, 2 Cl 2.34, 2 Ni 2.52
Cl (0.3515, 0.7500, 0.7026)  2 Be 2.28-2.30, 2 Ni 2.34

***

Entry 4:
The following is a DFT calculation (PBE-GGA) of a relaxed structure of Ba8LiAg2Rh.

Values from the calculation:
Total DFT energy (no corrections): -0.19288 Ry per atom
DOS at the Fermi energy: 9.9 states/eV/cell
Spin magnetization: 0.0 μB/f.u.
Energy of formation from the pure elements: -95 meV/atom

Cell lengths 7.7689, 9.7933, 7.9824 Å; angles 90.00, 90.60, 90.00 degrees
Closest atoms and distances in Å follow each position.
Space group P2/m (No. 10)
Unique sites:
Ba (0.2335, 0.2222, 0.1625)  1 Rh 3.11, 1 Ag 3.38
Ba (0.2389, 0.0000, 0.6869)  1 Rh 3.13, 2 Ag 3.44
Ba (0.2664, 0.5000, 0.6479)  2 Ag 3.37, 1 Li 3.51
Li (0.0000, 0.5000, 0.0000)  6 Ba 3.51
Ag (0.5000, 0.2373, 0.5000)  6 Ba 3.37-3.44
Rh (0.0000, 0.0000, 0.0000)  6 Ba 3.11-3.13

***

Entry 5:
The following is a DFT calculation (PBE-GGA) of a relaxed structure of Sr3CuPt3.

Values from the calculation:
Total DFT energy (no corrections): -0.33604 Ry per atom
DOS at the Fermi energy: 8.3 states/eV/cell
Spin magnetization: 0.0 μB/f.u.
Energy of formation from the pure elements: -677 meV/atom

Cell lengths 11.2392, 4.3275, 15.4407 Å; angles 90.00, 108.48, 90.00 degrees
Closest atoms and distances in Å follow each position.
Space group C2/m (No. 12)
Unique sites:
Sr (0.0425, 0.0000, 0.2753)  6 Pt 3.12-3.25, 2 Cu 3.24
Sr (0.1734, 0.0000, 0.5767)  7 Pt 3.21-3.25
Sr (0.1794, 0.5000, 0.1031)  4 Cu 3.18-3.32, 7 Pt 3.24-3.34
Cu (0.1058, 0.5000, 0.8770)  3 Pt 2.50-2.55
Pt (0.0370, 0.5000, 0.4227)  2 Pt 2.76-2.78
Pt (0.0547, 0.0000, 0.9377)  2 Cu 2.50, 1 Pt 2.59
Pt (0.1719, 0.5000, 0.7333)  1 Cu 2.55, 1 Pt 2.78

***

Entry 6:
The following is a DFT calculation (PBE-GGA) of a relaxed structure of Zn3CuIr2.

Values from the calculation:
Total DFT energy (no corrections): -0.32649 Ry per atom
DOS at the Fermi energy: 2.5 states/eV/cell
Spin magnetization: 0.0 μB/f.u.
Energy of formation from the pure elements: -169 meV/atom

Cell lengths 4.1851, 12.6476, 3.1226 Å; angles 90.00, 90.00, 90.00 degrees
Closest atoms and distances in Å follow each position.
Space group Cmmm (No. 65)
Unique sites:
Zn (0.0000, 0.0000, 0.0000)  4 Ir 2.56, 4 Cu 2.61
Zn (0.0000, 0.3315, 0.0000)  6 Ir 2.61-2.67, 2 Cu 2.64
Cu (0.0000, 0.5000, 0.5000)  8 Zn 2.61-2.64, 4 Ir 2.91
Ir (0.0000, 0.1604, 0.5000)  8 Zn 2.56-2.67

***

Entry 7:
The following is a DFT calculation (PBE-GGA) of a relaxed structure of Al2TcPd.

Values from the calculation:
Total DFT energy (no corrections): -0.47008 Ry per atom
DOS at the Fermi energy: 7.4 states/eV/cell
Spin magnetization: 0.0 μB/f.u.
Energy of formation from the pure elements: -635 meV/atom

Cell lengths 6.0892, 6.0892, 6.0892 Å; angles 90.00, 90.00, 90.00 degrees
Closest atoms and distances in Å follow each position.
Space group Fm-3m (No. 225)
Unique sites:
Al (0.2500, 0.2500, 0.2500)  4 Tc 2.64, 4 Pd 2.64
Tc (0.0000, 0.0000, 0.0000)  8 Al 2.64
Pd (0.0000, 0.0000, 0.5000)  8 Al 2.64

***

Entry 8:
The following is a DFT calculation (PBE-GGA) of a relaxed structure of NaEr2Cu.

Values from the calculation:
Total DFT energy (no corrections): -0.26634 Ry per atom
Relative energy among the computed polymorphs: 0.0 meV per atom
DOS at the Fermi energy: 1.8 states/eV/cell
Spin magnetization: 0.0 μB/f.u.
Energy of formation from the pure elements: 12 meV/atom

Cell lengths 3.4091, 3.4091, 9.3635 Å; angles 90.00, 90.00, 90.00 degrees
Closest atoms and distances in Å follow each position.
Space group P4/mmm (No. 123)
Unique sites:
Na (0.0000, 0.0000, 0.0000)  4 Na 3.41
Er (0.5000, 0.5000, 0.3215)  4 Cu 2.93
Cu (0.0000, 0.0000, 0.5000)  8 Er 2.93